# ZnMo2SeF | Alexandria via LeMat-Bulk | PBE with a Hubbard U | relaxed
# **E**: -3.64 eV/atom
# **Theoretical density**: 4.07 g cm⁻³
data_ZnMo2SeF
_chemical_formula_sum 'Zn1 Mo2 Se1 F1'
_cell_length_a 5.375
_cell_length_b 5.375
_cell_length_c 5.013
_cell_angle_alpha 90.00
_cell_angle_beta 90.00
_cell_angle_gamma 90.00
_space_group_name_H-M_alt 'P 4/m m m'
_space_group_IT_number 123
_space_group_name_Hall '-P 4 2'
loop_
_atom_site_label
_atom_site_fract_x
_atom_site_fract_y
_atom_site_fract_z
Zn1 0.000 0.000 0.000
Mo1 0.000 0.500 0.500
Se1 0.000 0.000 0.500
F1 0.500 0.500 0.000